TbSnRuAu: optimized geometry, PBE-GGA.

```
4
Lattice="4.831 0.000 0.000 2.415 4.184 0.000 2.415 1.395 3.944" Properties=species:S:1:pos:R:3 pbc="T T T"
Tb 2.415 1.395 0.986
Au 0.000 0.000 0.000
Sn 7.246 4.184 2.958
Ru 4.831 2.789 1.972
```

Results
- D(E_F) (states/eV per cell) = 3.59
- final energy (eV/atom) = -5.620